[1]
Density functional theory data (PBE-GGA) for RhAuCl2 after structural relaxation.

## Properties
**Uncorrected formation energy**: 32 kJ per mole of atoms
**Total energy**: -13.005 eV for the cell shown
**Symmetry**: C2/m (12)

abc: 5.096 5.096 3.147
angles: 90.48 90.48 103.58
Positions (direct):
1 Rh 0.000 0.000 0.000
2 Au 0.500 0.500 0.000
3 Cl 0.000 0.500 0.000
4 Cl 0.500 0.000 0.000

***

[2]
Density functional theory data (PBE-GGA) for RhAu2Cl after structural relaxation.

## Properties
**Uncorrected formation energy**: 15 kJ per mole of atoms
**Total energy**: -15.127 eV for the cell shown
**Symmetry**: Cm (8)

abc: 4.765 4.765 6.266
angles: 100.34 100.34 38.56
Positions (direct):
1 Rh 0.000 0.000 0.000
2 Au 0.254 0.254 0.825
3 Au 0.498 0.498 0.625
4 Cl 0.594 0.594 0.258

***

[3]
Density functional theory data (PBE-GGA) for RhAu2Cl after structural relaxation.

## Properties
**Uncorrected formation energy**: 54 kJ per mole of atoms
**Total energy**: -13.504 eV for the cell shown
**Symmetry**: P4/mmm (123)

abc: 5.009 5.009 2.838
angles: 90.00 90.00 90.00
Positions (direct):
1 Rh 0.000 0.000 0.000
2 Au 0.000 0.500 0.500
3 Au 0.500 0.000 0.500
4 Cl 0.500 0.500 0.000

***

[4]
Density functional theory data (PBE-GGA) for RhAu2Cl after structural relaxation.

## Properties
**Uncorrected formation energy**: 46 kJ per mole of atoms
**Total energy**: -13.853 eV for the cell shown
**Symmetry**: P4/mmm (123)

abc: 3.810 3.810 5.027
angles: 90.00 90.00 90.00
Positions (direct):
1 Rh 0.000 0.000 0.000
2 Au 0.000 0.500 0.500
3 Au 0.500 0.000 0.500
4 Cl 0.500 0.500 0.000

***

Which of these has the highest uncorrected formation energy? number 3

***

Look up the uncorrected formation energy of the fourth one. 46 kJ per mole of atoms

***

Number 2 is which compound? RhAu2Cl